PmNpCr2O8 | GGA+U | optimized geometry

Cell: 4.8449 4.8449 6.9736 Å, 93.95 93.95 85.72°
Last column: nearest neighbours and their distance in Å.
Sites, in units of the cell vectors:
Pm  0.0000  0.0000  0.0000  6 O 2.33-2.34
Np  0.0000  0.0000  0.5000  6 O 1.95-2.09
Cr  0.4718  0.4718  0.7803  5 O 1.93-2.07
Cr  0.5282  0.5282  0.2197  5 O 1.93-2.07
O  0.2009  0.7883  0.7269  1 Cr 1.98, 1 Np 2.09
O  0.2117  0.7991  0.2731  1 Cr 1.98, 1 Np 2.09
O  0.2758  0.2758  0.5407  1 Np 1.95, 1 Cr 2.07
O  0.3280  0.3280  0.0017  2 Cr 1.93-1.98
O  0.6720  0.6720  0.9983  2 Cr 1.93-1.98
O  0.7242  0.7242  0.4593  1 Np 1.95, 1 Cr 2.07
O  0.7883  0.2009  0.7269  1 Cr 1.98, 1 Np 2.09
O  0.7991  0.2117  0.2731  1 Cr 1.98, 1 Np 2.09

Summary:
Raw total energy: -100.67 eV for the cell shown